Material: ZrS2O
Method: DFT, GGA-PBE
State: optimized geometry

Total energy ... -5.6890 eV/atom
Spin magnetization ... 0.0 μB per formula unit
Energy above the lowest structure with this stoichiometry ... 595 meV/atom
Formation energy from raw total energies ... -0.99 eV/f.u.
DOS(E_F) ... 3.04 states/eV/f.u.

a b c (Å): 5.177 5.177 7.045
angles (deg): 68.44 68.44 90.00
Sites, in units of the cell vectors:
1 O 0.250 0.750 0.500
2 S 0.875 0.843 0.750
3 S 0.375 0.407 0.750
4 S 0.157 0.625 0.250
5 Zr 0.750 0.250 0.500
6 O 0.500 0.500 0.000
7 Zr 0.000 0.000 0.000
8 S 0.593 0.125 0.250